Entry 1:
Below is a relaxed structure of AlMo2Cl, with properties calculated at the GGA-PBEsol level.

Structure (POSCAR):
```
AlMo2Cl
1.0
3.7561 0.0000 0.0000
0.0000 3.7561 0.0000
-1.8781 -1.8781 4.3856
Mo Cl Al
2 1 1
direct
0.2500 0.7500 0.5000 Mo
0.7500 0.2500 0.5000 Mo
0.0000 0.0000 0.0000 Cl
0.5000 0.5000 0.0000 Al
```

Calculated values
The calculation puts the raw formation energy at 816 meV/atom. The density of states at the Fermi level comes out at 0.7483 states/eV/atom. The symmetry is I4/mmm (139).


Entry 2:
Below is a relaxed structure of Nb2ZnCd, with properties calculated at the GGA-PBEsol level.

Structure (POSCAR):
```
Nb2ZnCd
1.0
4.5963 0.0000 0.0000
2.2982 3.9805 0.0000
2.2982 1.3268 3.7529
Zn Cd Nb
1 1 2
direct
0.0000 0.0000 0.0000 Zn
0.5000 0.5000 0.5000 Cd
0.7500 0.7500 0.7500 Nb
0.2500 0.2500 0.2500 Nb
```

Calculated values
The energy relative to the elements is 1.3 eV per formula unit. The density of states at the Fermi level comes out at 1.3101 states/eV/atom. The symmetry is Fm-3m (225).


Entry 3:
Below is a relaxed structure of IrSe2Br, with properties calculated at the GGA-PBEsol level.

Structure (POSCAR):
```
IrSe2Br
1.0
-0.5621 3.0870 -1.8054
-3.1855 0.3984 1.6730
2.9414 3.3450 4.8039
Se Br Ir
2 1 1
direct
0.5000 0.0000 0.0000 Se
0.0000 0.5000 0.0000 Se
0.5000 0.5000 0.5000 Br
0.0000 0.0000 0.5000 Ir
```

Calculated values
The calculation puts the raw formation energy at 915 meV/atom. The density of states at the Fermi level comes out at 1.2901 states/eV/atom. The symmetry is P4/mmm (123).


Entry 4:
Below is a relaxed structure of BiSe2Cl, with properties calculated at the GGA-PBEsol level.

Structure (POSCAR):
```
BiSe2Cl
1.0
4.9941 0.0000 0.0000
2.4971 4.3250 0.0000
2.4971 1.4417 4.0777
Se Cl Bi
2 1 1
direct
0.2500 0.2500 0.2500 Se
0.7500 0.7500 0.7500 Se
0.0000 0.0000 0.0000 Cl
0.5000 0.5000 0.5000 Bi
```

Calculated values
The calculation puts the raw formation energy at 55 meV/atom. The density of states at the Fermi level comes out at 1.3739 states/eV/atom. The symmetry is Fm-3m (225).


Entry 5:
Below is a relaxed structure of BaH3S, with properties calculated at the GGA-PBEsol level.

Structure (POSCAR):
```
BaH3S
1.0
3.9801 0.0000 0.0000
0.0000 3.9801 0.0000
0.0000 0.0000 3.9801
H Ba S
3 1 1
direct
0.0000 0.0000 0.5000 H
0.0000 0.5000 0.0000 H
0.5000 0.0000 0.0000 H
0.5000 0.5000 0.5000 Ba
0.0000 0.0000 0.0000 S
```

Calculated values
The density of states at the Fermi level comes out at 0.4204 states/eV/atom. The value obtained for the total energy is -3.25 eV per atom. The symmetry is Pm-3m (221).


Entry 6:
Below is a relaxed structure of LaRu2W2, with properties calculated at the GGA-PBEsol level.

Structure (POSCAR):
```
LaRu2W2
1.0
-2.3173 -3.4228 -1.3014
3.1804 -2.6446 1.2923
-2.6145 2.7160 4.7267
Ru W La
2 2 1
direct
0.3695 0.3695 0.7390 Ru
0.6305 0.6305 0.2610 Ru
0.2500 0.7500 0.5000 W
0.7500 0.2500 0.5000 W
0.0000 0.0000 0.0000 La
```

Calculated values
The energy relative to the elements is 0.5 eV per formula unit. The density of states at the Fermi level comes out at 0.5856 states/eV/atom. The symmetry is I4/mmm (139).


Entry 7:
Below is a relaxed structure of Ba3Nb2NiO9, with properties calculated at the GGA-PBEsol level.

Structure (POSCAR):
```
Ba3Nb2NiO9
1.0
-1.2923 2.6948 -4.9106
-3.8822 -0.2849 4.2302
2.4686 6.0553 2.6734
O Ba Nb Ni
9 3 2 1
direct
0.0000 0.5000 0.0000 O
0.8312 0.6625 0.3290 O
0.8312 0.1688 0.3290 O
0.5000 0.0000 0.0000 O
0.6625 0.8312 0.6710 O
0.1688 0.3375 0.6710 O
0.5000 0.5000 0.0000 O
0.1688 0.8312 0.6710 O
0.3375 0.1688 0.3290 O
0.6667 0.3333 0.6639 Ba
0.0000 0.0000 0.0000 Ba
0.3333 0.6667 0.3361 Ba
0.6667 0.3333 0.1799 Nb
0.3333 0.6667 0.8201 Nb
0.0000 0.0000 0.5000 Ni
```

Calculated values
The calculation puts the raw formation energy at -2587 meV/atom. The symmetry is P-3m1 (164).


Entry 8:
Below is a relaxed structure of YSc2Mo, with properties calculated at the GGA-PBEsol level.

Structure (POSCAR):
```
YSc2Mo
1.0
-1.6818 2.8547 -3.6398
1.4989 -0.7702 -4.6245
-3.1267 -1.8400 -3.3263
Sc Y Mo
2 1 1
direct
0.7500 0.7500 0.7500 Sc
0.0000 0.0000 0.0000 Sc
0.2500 0.2500 0.2500 Y
0.5000 0.5000 0.5000 Mo
```

Calculated values
The energy relative to the elements is 1.1 eV per formula unit. The density of states at the Fermi level comes out at 1.2222 states/eV/atom. The symmetry is F-43m (216).


Entry 9:
Below is a relaxed structure of TiCdO2F, with properties calculated at the GGA-PBEsol level.

Structure (POSCAR):
```
TiCdO2F
1.0
-2.1244 -2.5369 -2.0232
3.2327 -1.8636 -1.0576
-0.2876 -2.3239 3.2159
Ti Cd O F
1 1 2 1
direct
0.0000 0.0000 0.0000 Ti
0.5000 0.5000 0.5000 Cd
0.0000 0.5000 0.0000 O
0.5000 0.0000 0.0000 O
0.0000 0.0000 0.5000 F
```

Calculated values
The calculation puts the raw formation energy at -2152 meV/atom. The density of states at the Fermi level comes out at 0.4321 states/eV/atom. The symmetry is P4/mmm (123).


Entry 10:
Below is a relaxed structure of Ca2SbOs, with properties calculated at the GGA-PBEsol level.

Structure (POSCAR):
```
Ca2SbOs
1.0
-2.1088 1.9205 -3.2129
-3.5706 -2.4504 0.8788
0.0218 5.0245 2.9890
Os Ca Sb
1 2 1
direct
0.0000 0.8163 0.6326 Os
0.5000 0.3907 0.7814 Ca
0.0000 0.1050 0.2100 Ca
0.5000 0.6869 0.3738 Sb
```

Calculated values
The calculation puts the raw formation energy at -73 meV/atom. The density of states at the Fermi level comes out at 0.8194 states/eV/atom. The symmetry is Amm2 (38).


Entry 11:
Below is a relaxed structure of ZrCr2AsF, with properties calculated at the GGA-PBEsol level.

Structure (POSCAR):
```
ZrCr2AsF
1.0
3.9755 0.0000 0.0000
0.0000 4.9347 0.0000
0.0000 0.0000 4.9347
Cr As Zr F
2 1 1 1
direct
0.0000 0.5000 0.0000 Cr
0.0000 0.0000 0.5000 Cr
0.5000 0.5000 0.5000 As
0.0000 0.0000 0.0000 Zr
0.5000 0.0000 0.0000 F
```

Calculated values
The calculation puts the raw formation energy at 393 meV/atom. The density of states at the Fermi level comes out at 0.7090 states/eV/atom. The symmetry is P4/mmm (123).


Entry 12:
Below is a relaxed structure of CoAg2W, with properties calculated at the GGA-PBEsol level.

Structure (POSCAR):
```
CoAg2W
1.0
2.7279 0.0000 0.0000
1.3640 2.3625 0.0000
1.3640 0.7875 9.2320
Ag Co W
2 1 1
direct
0.7545 0.7545 0.7366 Ag
0.2455 0.2455 0.2634 Ag
0.5000 0.5000 0.5000 Co
0.0000 0.0000 0.0000 W
```

Calculated values
The energy relative to the elements is 2.2 eV per formula unit. The density of states at the Fermi level comes out at 0.8543 states/eV/atom. The symmetry is R-3m (166).


no.,magnetic moment (μB/atom)
1,0.000
2,0.000
3,0.095
4,0.002
5,0.000
6,0.000
7,0.136
8,0.000
9,0.001
10,0.000
11,1.319
12,0.404